Below is a PBEsol-optimized structure of Co2HgIr, with properties calculated at the meta-GGA SCAN level.

Lattice parameters (Å, degrees): 2.7296 2.7296 25.8492 90.00 90.00 120.00
Closest atoms and distances in Å follow each position.
Space group R3m (No. 160, hexagonal axes)
Asymmetric unit:
Co1 0.0000 0.0000 0.0000 x3  3 Co 2.40, 3 Ir 2.55
Co2 0.0000 0.0000 0.2635 x3  3 Co 2.40
Hg1 0.0000 0.0000 0.5078 x3  6 Hg 2.73, 3 Co 2.79, 3 Ir 2.96
Ir1 0.0000 0.0000 0.7441 x3  3 Co 2.55, 6 Ir 2.73

Density of states at the Fermi level, states/eV per cell: 11.01
Formation enthalpy at 0 K, eV/atom: 0.40
Crystal system: trigonal
Volume, Å³ per cell: 167